Entry 1:
{"formula": "Mg2PbAu", "functional": "PBE-GGA", "state": "optimized geometry", "cell": [[-4.681, -4.589, 4.383], [5.843, -0.992, 5.201], [-0.407, -0.263, 6.384]], "species": ["Mg", "Pb", "Mg", "Au", "Mg", "Mg", "Au", "Pb"], "fractional_positions": [[0.168, 0.625, 0.250], [0.000, 0.000, 0.000], [0.582, 0.125, 0.250], [0.250, 0.750, 0.500], [0.375, 0.418, 0.750], [0.875, 0.832, 0.750], [0.500, 0.500, 0.000], [0.750, 0.250, 0.500]], "delta_e_f_ev_per_atom": -0.129, "n_ef_per_ev_cell": 2.9, "e_tot_ev_per_atom": -2.673, "magnetic_moment_mub_per_cell": 0.0, "spacegroup": "No. 122"}

---

Entry 2:
{"formula": "Mg2PbAu3", "functional": "PBE-GGA", "state": "optimized geometry", "cell": [[3.431, 0.000, 0.000], [0.000, 3.431, 0.000], [0.000, 0.000, 10.255]], "species": ["Mg", "Au", "Pb", "Mg", "Au", "Au"], "fractional_positions": [[0.500, 0.500, 0.846], [0.000, 0.000, 0.295], [0.500, 0.500, 0.500], [0.500, 0.500, 0.154], [0.000, 0.000, 0.000], [0.000, 0.000, 0.705]], "delta_e_f_ev_per_atom": -0.419, "n_ef_per_ev_cell": 1.1, "e_tot_ev_per_atom": -3.207, "magnetic_moment_mub_per_cell": 0.0, "spacegroup": "No. 123"}

---

Entry 3:
{"formula": "Mg2PbAu", "functional": "PBE-GGA", "state": "optimized geometry", "cell": [[3.433, 0.000, 0.000], [0.000, 3.428, 0.049], [0.000, 3.460, 7.561]], "species": ["Au", "Mg", "Mg", "Pb"], "fractional_positions": [[0.500, 0.750, 0.750], [0.000, 0.455, 0.548], [0.000, 0.045, 0.952], [0.500, 0.250, 0.250]], "delta_e_f_ev_per_atom": -0.338, "n_ef_per_ev_cell": 1.4, "e_tot_ev_per_atom": -2.882, "magnetic_moment_mub_per_cell": 0.0, "spacegroup": "No. 10"}

---

Entry 4:
{"formula": "Mg5PbAu", "functional": "PBE-GGA", "state": "optimized geometry", "cell": [[4.671, 0.000, 0.000], [0.000, 4.671, 0.000], [0.000, 0.000, 7.327]], "species": ["Au", "Mg", "Mg", "Pb", "Mg", "Mg", "Mg"], "fractional_positions": [[0.500, 0.500, 0.000], [0.500, 0.000, 0.203], [0.000, 0.500, 0.797], [0.000, 0.000, 0.500], [0.500, 0.000, 0.797], [0.500, 0.500, 0.500], [0.000, 0.500, 0.203]], "delta_e_f_ev_per_atom": -0.255, "n_ef_per_ev_cell": 3.1, "e_tot_ev_per_atom": -2.392, "magnetic_moment_mub_per_cell": 0.0, "spacegroup": "No. 123"}